Y2NiP | PBE-GGA | optimized geometry

Results
* Fermi-level density of states: 0.82 states/eV per atom
* formation enthalpy at 0 K: -0.975 eV/atom
* total magnetization: 0.00 μB/cell

Unit cell a=3.995 b=3.910 c=10.465 alpha=90.00 beta=90.00 gamma=90.00
Element x y z (fractional)
1 Y 0.000 0.000 0.000
2 Y 0.000 0.500 0.500
3 Y 0.500 0.000 0.280
4 Y 0.500 0.500 0.780
5 Ni 0.000 0.000 0.708
6 Ni 0.000 0.500 0.208
7 P 0.500 0.000 0.569
8 P 0.500 0.500 0.069